(1)
A plane-wave DFT calculation with PBE was carried out for crystalline Bi2MoPd at its relaxed geometry.

The space group is I-42d (No. 122) and the conventional cell measures 6.2917, 6.2917 and 12.4930 Å, with angles of 90.00, 90.00 and 90.00 degrees. Symmetry generates all atoms from Bi at (0.2498, 0.2500, 0.1250), Mo at (0.0000, 0.0000, 0.0000) and Pd at (0.0000, 0.0000, 0.5000).

As for the uncorrected energy: -20.63 eV/f.u. The calculation puts the total moment at 0.943 μB per formula unit. The calculation puts the density of states at the Fermi level at 11.98 states/eV/cell. For the energy of formation from the pure elements, the calculation gives 0.788 eV per atom.

***

(2)
A plane-wave DFT calculation with PBE was carried out for crystalline Bi3MoPd at its relaxed geometry.

The space group is Pm-3m (No. 221) and the conventional cell measures 5.3268, 5.3268 and 5.3268 Å, with angles of 90.00, 90.00 and 90.00 degrees. Symmetry generates all atoms from Bi at (0.0000, 0.0000, 0.5000), Mo at (0.0000, 0.0000, 0.0000) and Pd at (0.5000, 0.5000, 0.5000).

As for the uncorrected energy: -23.96 eV/f.u. The calculation puts the total moment at 0.000 μB per formula unit. The calculation puts the density of states at the Fermi level at 3.04 states/eV/cell. For the energy of formation from the pure elements, the calculation gives 0.740 eV per atom.

***

(3)
A plane-wave DFT calculation with PBE was carried out for crystalline BiMoPd at its relaxed geometry.

The space group is Amm2 (No. 38) and the conventional cell measures 13.4902, 3.2147 and 5.4737 Å, with angles of 90.00, 90.00 and 90.00 degrees. Symmetry generates all atoms from Bi at (0.1796, 0.0000, 0.0000), Mo at (0.3507, 0.0000, 0.3551), Pd at (0.0000, 0.0000, 0.2793) and Pd at (0.5000, 0.0000, 0.0181).

As for the uncorrected energy: -18.37 eV/f.u. The calculation puts the total moment at 0.000 μB per formula unit. The calculation puts the density of states at the Fermi level at 9.72 states/eV/cell. For the energy of formation from the pure elements, the calculation gives 0.513 eV per atom.

***

(4)
A plane-wave DFT calculation with PBE was carried out for crystalline BiMoPd2Se at its relaxed geometry.

The space group is P4/mmm (No. 123) and the conventional cell measures 5.0252, 5.0252 and 5.3530 Å, with angles of 90.00, 90.00 and 90.00 degrees. Symmetry generates all atoms from Bi at (0.0000, 0.0000, 0.0000), Mo at (0.0000, 0.0000, 0.5000), Pd at (0.0000, 0.5000, 0.0000) and Se at (0.5000, 0.5000, 0.5000).

As for the uncorrected energy: -22.49 eV/f.u. The calculation puts the total moment at 3.077 μB per formula unit. The calculation puts the density of states at the Fermi level at 3.34 states/eV/cell. The uncorrected formation energy is 1.22 eV per atom.